Entry 1:
DFT (PBE) results for a relaxed structure of VCr3Si.

abc: 4.2445 4.2445 4.2445
angles: 90.00 90.00 90.00
Fractional coordinates of all 5 atoms:
V: 0.0000 0.0000 0.0000
Cr: 0.0000 0.0000 0.5000
Cr: 0.0000 0.5000 0.0000
Cr: 0.5000 0.0000 0.0000
Si: 0.5000 0.5000 0.5000

Properties
uncorrected formation energy = 1.298 eV/atom
space-group type = Pm-3m, No. 221

***

Entry 2:
DFT (PBE) results for a relaxed structure of VCrSi4.

abc: 4.4900 12.6666 4.4986
angles: 90.00 119.81 90.00
Fractional coordinates of all 18 atoms:
V: 0.0000 0.0000 0.0000
V: 0.0000 0.4995 0.0000
V: 0.5000 0.6661 0.0000
Cr: 0.0000 0.3322 0.5000
Cr: 0.0000 0.8327 0.5000
Cr: 0.5000 0.1676 0.0000
Si: 0.1703 0.1668 0.3364
Si: 0.1735 0.6671 0.3380
Si: 0.3342 0.4985 0.6609
Si: 0.3348 0.8333 0.1722
Si: 0.3361 0.0000 0.6661
Si: 0.3372 0.3323 0.1698
Si: 0.6628 0.3323 0.8302
Si: 0.6639 0.0000 0.3339
Si: 0.6652 0.8333 0.8278
Si: 0.6658 0.4985 0.3391
Si: 0.8265 0.6671 0.6620
Si: 0.8297 0.1668 0.6636

Properties
uncorrected formation energy = -0.417 eV/atom
space-group type = P2, No. 3

***

Entry 3:
DFT (PBE) results for a relaxed structure of V4CrSi.

abc: 6.6710 6.6710 6.6710
angles: 97.91 97.91 136.46
Fractional coordinates of all 12 atoms:
V: 0.2342 0.0000 0.2342
V: 0.2385 0.4997 0.2613
V: 0.2385 0.9772 0.7387
V: 0.2497 0.4885 0.7613
V: 0.7272 0.4885 0.2387
V: 0.7500 0.0158 0.2658
V: 0.7500 0.4842 0.7342
V: 0.7658 0.0000 0.7658
Cr: 0.2351 0.2351 0.0000
Cr: 0.9851 0.4851 0.5000
Si: 0.4832 0.9832 0.5000
Si: 0.7332 0.7332 0.0000

Properties
uncorrected formation energy = 0.561 eV/atom
space-group type = I4_1md, No. 109

***

Entry 4:
DFT (PBE) results for a relaxed structure of V3CrSi.

abc: 4.2747 4.2747 4.2747
angles: 90.00 90.00 90.00
Fractional coordinates of all 5 atoms:
V: 0.0000 0.0000 0.5000
V: 0.0000 0.5000 0.0000
V: 0.5000 0.0000 0.0000
Cr: 0.0000 0.0000 0.0000
Si: 0.5000 0.5000 0.5000

Properties
uncorrected formation energy = 0.843 eV/atom
space-group type = Pm-3m, No. 221

***

Entry 5:
DFT (PBE) results for a relaxed structure of V2CrSi.

abc: 3.9356 3.9356 3.2502
angles: 90.00 90.00 90.00
Fractional coordinates of all 4 atoms:
V: 0.0000 0.5000 0.0000
V: 0.5000 0.0000 0.0000
Cr: 0.0000 0.0000 0.5000
Si: 0.5000 0.5000 0.5000

Properties
uncorrected formation energy = -0.291 eV/atom
space-group type = P4/mmm, No. 123

***

Entry 6:
DFT (PBE) results for a relaxed structure of VCrSi2.

abc: 9.0796 9.0796 9.0796
angles: 157.54 157.54 31.97
Fractional coordinates of all 8 atoms:
V: 0.0000 0.0000 0.0000
V: 0.7500 0.2500 0.5000
Cr: 0.2500 0.7500 0.5000
Cr: 0.5000 0.5000 0.0000
Si: 0.1235 0.6250 0.9985
Si: 0.3750 0.3735 0.4985
Si: 0.6265 0.1250 0.0015
Si: 0.8750 0.8765 0.5015

Properties
uncorrected formation energy = 0.163 eV/atom
space-group type = I-42d, No. 122

***

Entry 7:
DFT (PBE) results for a relaxed structure of V12Cr6Si.

abc: 6.3124 6.3124 6.3124
angles: 89.49 89.49 89.49
Fractional coordinates of all 19 atoms:
V: 0.0208 0.9124 0.3142
V: 0.0876 0.6858 0.9792
V: 0.1213 0.4452 0.3549
V: 0.3142 0.0208 0.9124
V: 0.3549 0.1214 0.4452
V: 0.4452 0.3549 0.1214
V: 0.5548 0.6451 0.8786
V: 0.6451 0.8786 0.5548
V: 0.6858 0.9792 0.0876
V: 0.8786 0.5548 0.6451
V: 0.9124 0.3142 0.0208
V: 0.9792 0.0876 0.6858
Cr: 0.2404 0.7592 0.6167
Cr: 0.2408 0.3833 0.7596
Cr: 0.3833 0.7596 0.2408
Cr: 0.6167 0.2404 0.7592
Cr: 0.7592 0.6167 0.2404
Cr: 0.7596 0.2408 0.3833
Si: 0.5000 0.5000 0.5000

Properties
uncorrected formation energy = 0.063 eV/atom
space-group type = R-3, No. 148

***

Entry 8:
DFT (PBE) results for a relaxed structure of VCr3Si.

abc: 4.3217 4.3217 4.3217
angles: 90.00 90.00 90.00
Fractional coordinates of all 5 atoms:
V: 0.0000 0.0000 0.0000
Cr: 0.0000 0.5000 0.5000
Cr: 0.5000 0.0000 0.5000
Cr: 0.5000 0.5000 0.0000
Si: 0.5000 0.5000 0.5000

Properties
uncorrected formation energy = 0.972 eV/atom
space-group type = Pm-3m, No. 221